Arrangement P

Dy2TmTi | PBE-GGA | relaxed

a b c (Å): 3.339 3.339 11.785
angles (deg): 81.86 81.86 60.00
Site moments in Bohr magnetons follow the coordinates.
Sites, in units of the cell vectors:
Tm1 0.500 0.500 0.500  -0.05
Ti1 0.000 0.000 0.000  1.27
Dy1 0.084 0.084 0.747  0.10
Dy2 0.916 0.916 0.253  0.10

## Properties
Magnetization: 1.8 Bohr magnetons per cell


Arrangement Q

Dy2TmTi | PBE-GGA | relaxed

a b c (Å): 4.725 4.771 4.771
angles (deg): 90.00 90.00 90.00
Site moments in Bohr magnetons follow the coordinates.
Sites, in units of the cell vectors:
Tm1 0.500 0.500 0.500  0.01
Ti1 0.500 0.000 0.000  0.20
Dy1 0.000 0.000 0.500  -0.01
Dy2 0.000 0.500 0.000  -0.01

## Properties
Magnetization: 0.2 Bohr magnetons per cell


Which structure wins on stability? arrangement Q wins.


Arrangement P

Dy2TmTi | PBE-GGA | relaxed

a b c (Å): 3.403 3.403 11.004
angles (deg): 81.09 81.09 60.00
Sites, in units of the cell vectors:
Dy1 0.076 0.076 0.771
Dy2 0.257 0.257 0.228
Tm1 0.500 0.500 0.500
Ti1 0.667 0.667 0.000

## Properties
Magnetization: 0.0 Bohr magnetons per cell


Arrangement Q

Dy2TmTi | PBE-GGA | relaxed

a b c (Å): 3.399 3.399 9.383
angles (deg): 90.00 90.00 90.00
Sites, in units of the cell vectors:
Tm1 0.500 0.500 0.500
Ti1 0.500 0.500 0.000
Dy1 0.000 0.000 0.778
Dy2 0.000 0.000 0.222

## Properties
Magnetization: 0.0 Bohr magnetons per cell


Which structure wins on stability? arrangement Q wins.


Arrangement P

Dy2TiZn | PBE-GGA | relaxed

a b c (Å): 3.502 5.184 5.184
angles (deg): 90.00 90.00 90.00
Site moments in Bohr magnetons follow the coordinates.
Sites, in units of the cell vectors:
Zn1 0.500 0.500 0.500  0.00
Ti1 0.500 0.000 0.000  1.15
Dy1 0.000 0.000 0.500  0.23
Dy2 0.000 0.500 0.000  0.23

## Properties
Magnetization: 2.0 Bohr magnetons per cell


Arrangement Q

Dy2TiZn | PBE-GGA | relaxed

a b c (Å): 3.362 3.362 8.253
angles (deg): 90.00 90.00 90.00
Sites, in units of the cell vectors:
Zn1 0.500 0.500 0.000
Ti1 0.500 0.500 0.500
Dy1 0.000 0.000 0.758
Dy2 0.000 0.000 0.242

## Properties
Magnetization: 0.0 Bohr magnetons per cell


Which structure wins on stability? arrangement Q wins.


Arrangement P

DyZrTi | PBE-GGA | relaxed

a b c (Å): 3.216 3.216 7.853
angles (deg): 90.00 90.00 120.00
Sites, in units of the cell vectors:
Ti1 0.667 0.333 0.346
Zr1 0.333 0.667 0.642
Dy1 0.000 0.000 0.012

## Properties
Magnetization: 0.0 Bohr magnetons per cell


Arrangement Q

DyZrTi | PBE-GGA | relaxed

a b c (Å): 3.249 5.123 10.028
angles (deg): 120.71 99.31 90.00
Sites, in units of the cell vectors:
Dy1 0.895 0.040 0.790
Dy2 0.105 0.960 0.210
Zr1 0.219 0.686 0.436
Zr2 0.781 0.314 0.564
Ti1 0.447 0.645 0.895
Ti2 0.553 0.355 0.105

## Properties
Magnetization: 0.0 Bohr magnetons per cell


Which structure wins on stability? arrangement Q wins.